No. 1
Computed, not measured: a relaxed K2NbRuO6 crystal at the PBE-GGA level of DFT.

Summary:
size of the total moment = 1.30 μB per formula unit
formation energy (no corrections) = -1791 meV/atom
symmetry = No. 225
V = 12.7 A^3/atom

Geometry as extended XYZ:
```
10
Lattice="5.6425 0.0005 -0.0003 0.0005 5.6424 -0.0004 2.8214 2.8214 3.9898" Properties=species:S:1:pos:R:3 pbc="T T T"
K 5.6426 2.8217 1.9943
K 2.8217 5.6426 1.9948
Nb 2.8215 2.8214 -0.0003
Ru 0.0000 0.0000 0.0000
O 2.8214 2.8214 2.0192
O 7.0708 7.0703 3.9892
O 1.3935 4.2499 -0.0003
O 4.2494 1.3930 -0.0003
O 1.3935 1.3940 -0.0001
O 5.6429 5.6429 1.9699
```

---

No. 2
Computed, not measured: a relaxed Co8Re crystal at the PBE-GGA level of DFT.

Summary:
size of the total moment = 8.66 μB per formula unit
total energy = -7.63 eV per atom
symmetry = No. 139
V = 11.1 A^3/atom

Geometry as extended XYZ:
```
9
Lattice="-2.8015 -4.7478 0.9643 1.4682 -0.4375 5.3827 -3.6790 -2.5368 6.0300" Properties=species:S:1:pos:R:3 pbc="T T T"
Co -1.2359 -0.8522 2.0256
Co -2.4431 -1.6846 4.0044
Co 0.0339 -1.8854 3.8984
Co -1.1699 -2.7100 5.9175
Co -2.4068 -3.5629 7.9450
Co -1.3672 -3.2999 2.4485
Co -2.6054 -4.1592 4.4319
Co -3.8424 -5.0122 6.4594
Re 0.0000 0.0000 0.0000
```

---

No. 3
Computed, not measured: a relaxed ZnGaC3 crystal at the PBE-GGA level of DFT.

Summary:
size of the total moment = 0.00 μB per formula unit
energy above the lowest structure with this stoichiometry = 0.095 eV/atom
symmetry = No. 221
V = 12.8 A^3/atom

Geometry as extended XYZ:
```
5
Lattice="-2.2748 -0.1752 -3.2842 -0.6765 -3.8830 0.6757 -3.2186 0.9400 2.1792" Properties=species:S:1:pos:R:3 pbc="T T T"
Zn 0.0000 0.0000 0.0000
C -0.3382 -1.9415 0.3379
C -1.6093 0.4700 1.0896
C -1.1374 -0.0876 -1.6421
Ga -3.0849 -1.5591 -0.2147
```

---

No. 4
Computed, not measured: a relaxed SrMgTa2 crystal at the PBE-GGA level of DFT.

Summary:
size of the total moment = 0.00 μB per formula unit
total energy = -5.96 eV per atom
symmetry = No. 44
V = 25.0 A^3/atom

Geometry as extended XYZ:
```
4
Lattice="-1.8686 4.5248 -4.0108 -5.7372 -0.6211 -2.5982 3.6984 0.8301 5.0680" Properties=species:S:1:pos:R:3 pbc="T T T"
Mg -4.0006 2.0534 -3.4763
Sr -2.8590 1.0487 -0.3636
Ta -7.3126 3.7533 -6.3542
Ta -1.1438 3.7342 -1.2604
```